Record 1
# Ac5Pm3H12 PBE relaxed
# magnetic moment: 0.00 μB/f.u.
# electronic total energy: -4.115 eV per atom
data_Ac5Pm3H12
_cell_length_a 12.2944
_cell_length_b 12.2944
_cell_length_c 12.2944
_cell_angle_alpha 109.47
_cell_angle_beta 109.47
_cell_angle_gamma 109.47
_space_group_name_H-M_alt 'P 1'
_space_group_IT_number 1
_space_group_name_Hall 'P 1'
loop_
_atom_site_label
_atom_site_type_symbol
_atom_site_fract_x
_atom_site_fract_y
_atom_site_fract_z
Pm1 Pm 0.1250 0.8750 0.7500
H1 H 0.9156 0.0699 0.8370
H2 H 0.0699 0.9156 0.3370
Pm2 Pm 0.3750 0.7500 0.6250
Ac1 Ac 0.1250 0.3750 0.2500
Pm3 Pm 0.2500 0.1250 0.3750
H3 H 0.5844 0.9214 0.6544
Pm4 Pm 0.8750 0.1250 0.2500
H4 H 0.6630 0.5844 0.9301
H5 H 0.6630 0.0786 0.2330
Pm5 Pm 0.7500 0.3750 0.1250
H6 H 0.2670 0.8370 0.9214
H7 H 0.9214 0.5844 0.1544
H8 H 0.5844 0.6630 0.4301
H9 H 0.5786 0.3456 0.9156
H10 H 0.2330 0.5786 0.6630
Pm6 Pm 0.6250 0.2500 0.3750
Ac2 Ac 0.2500 0.3750 0.6250
H11 H 0.1544 0.0844 0.9214
Ac3 Ac 0.0000 0.5000 0.5000
H12 H 0.4214 0.6544 0.0844
H13 H 0.2330 0.6544 0.0699
H14 H 0.8456 0.9301 0.2670
Ac4 Ac 0.0000 0.0000 0.5000
Ac5 Ac 0.2500 0.8750 0.1250
H15 H 0.0844 0.9301 0.1630
Pm7 Pm 0.6250 0.3750 0.7500
H16 H 0.4301 0.2670 0.3456
H17 H 0.0786 0.6630 0.7330
Ac6 Ac 0.5000 0.0000 0.5000
Pm8 Pm 0.8750 0.7500 0.1250
H18 H 0.1544 0.0699 0.7330
Ac7 Ac 0.7500 0.6250 0.3750
H19 H 0.3456 0.5786 0.4156
H20 H 0.0844 0.1544 0.4214
H21 H 0.3370 0.4156 0.0699
Ac8 Ac 0.3750 0.2500 0.1250
Ac9 Ac 0.0000 0.5000 0.0000
H22 H 0.3370 0.9214 0.7670
H23 H 0.5699 0.7330 0.6544
H24 H 0.1630 0.7330 0.5786
H25 H 0.1630 0.4301 0.0844
Ac10 Ac 0.5000 0.0000 0.0000
Ac11 Ac 0.7500 0.1250 0.8750
H26 H 0.3456 0.7670 0.4301
H27 H 0.5786 0.2330 0.1630
H28 H 0.9214 0.3370 0.2670
Ac12 Ac 0.3750 0.1250 0.7500
Ac13 Ac 0.6250 0.8750 0.2500
Pm9 Pm 0.1250 0.2500 0.8750
Ac14 Ac 0.5000 0.5000 0.0000
H29 H 0.9301 0.0844 0.6630
Ac15 Ac 0.0000 0.0000 0.0000
H30 H 0.4301 0.1630 0.5844
H31 H 0.8370 0.5699 0.9156
H32 H 0.7330 0.5699 0.1544
H33 H 0.6544 0.4214 0.5844
Ac16 Ac 0.6250 0.7500 0.8750
H34 H 0.8370 0.2670 0.4214
H35 H 0.7670 0.3456 0.9301
H36 H 0.9156 0.8456 0.5786
Pm10 Pm 0.2500 0.6250 0.8750
H37 H 0.4156 0.0786 0.3456
H38 H 0.4214 0.7670 0.8370
H39 H 0.6544 0.2330 0.5699
H40 H 0.2670 0.4301 0.8456
Ac17 Ac 0.5000 0.5000 0.5000
H41 H 0.4156 0.3370 0.5699
Ac18 Ac 0.8750 0.2500 0.6250
Ac19 Ac 0.1250 0.7500 0.3750
H42 H 0.9301 0.8456 0.7670
H43 H 0.0786 0.4156 0.8456
Pm11 Pm 0.7500 0.8750 0.6250
H44 H 0.8456 0.9156 0.0786
H45 H 0.7330 0.1630 0.0786
Pm12 Pm 0.3750 0.6250 0.2500
H46 H 0.7670 0.4214 0.3370
Ac20 Ac 0.8750 0.6250 0.7500
H47 H 0.5699 0.8370 0.4156
H48 H 0.0699 0.1544 0.2330

Record 2
# AcPm3H8 PBE relaxed
# magnetic moment: 0.00 μB/f.u.
# electronic total energy: -4.404 eV per atom
data_AcPm3H8
_cell_length_a 5.5307
_cell_length_b 5.5307
_cell_length_c 5.5307
_cell_angle_alpha 90.00
_cell_angle_beta 90.00
_cell_angle_gamma 90.00
_space_group_name_H-M_alt 'P 1'
_space_group_IT_number 1
_space_group_name_Hall 'P 1'
loop_
_atom_site_label
_atom_site_type_symbol
_atom_site_fract_x
_atom_site_fract_y
_atom_site_fract_z
Pm1 Pm 0.5000 0.0000 0.5000
H1 H 0.7381 0.2619 0.2619
H2 H 0.2619 0.2619 0.2619
H3 H 0.7381 0.7381 0.7381
Ac1 Ac 0.0000 0.0000 0.0000
H4 H 0.2619 0.7381 0.2619
H5 H 0.2619 0.7381 0.7381
H6 H 0.7381 0.7381 0.2619
Pm2 Pm 0.0000 0.5000 0.5000
Pm3 Pm 0.5000 0.5000 0.0000
H7 H 0.7381 0.2619 0.7381
H8 H 0.2619 0.2619 0.7381

Record 3
# AcPmH4 PBE relaxed
# magnetic moment: 0.00 μB/f.u.
# electronic total energy: -4.325 eV per atom
data_AcPmH4
_cell_length_a 3.9731
_cell_length_b 3.9731
_cell_length_c 5.7080
_cell_angle_alpha 90.00
_cell_angle_beta 90.00
_cell_angle_gamma 90.00
_space_group_name_H-M_alt 'P 1'
_space_group_IT_number 1
_space_group_name_Hall 'P 1'
loop_
_atom_site_label
_atom_site_type_symbol
_atom_site_fract_x
_atom_site_fract_y
_atom_site_fract_z
H1 H 0.5013 0.9973 0.7724
Pm1 Pm 0.5013 0.4973 0.9981
H2 H 0.0013 0.4973 0.7725
H3 H 0.5013 0.9973 0.2238
H4 H 0.0013 0.4973 0.2238
Ac1 Ac 0.0013 0.9973 0.4981

Record 4
# AcPm2PrH PBE relaxed
# magnetic moment: 0.00 μB/f.u.
# electronic total energy: -4.511 eV per atom
data_AcPm2PrH
_cell_length_a 5.2673
_cell_length_b 5.2559
_cell_length_c 5.2559
_cell_angle_alpha 90.00
_cell_angle_beta 90.00
_cell_angle_gamma 90.00
_space_group_name_H-M_alt 'P 1'
_space_group_IT_number 1
_space_group_name_Hall 'P 1'
loop_
_atom_site_label
_atom_site_type_symbol
_atom_site_fract_x
_atom_site_fract_y
_atom_site_fract_z
Pm1 Pm 0.0000 0.0000 0.5000
Ac1 Ac 0.5000 0.5000 0.5000
Pm2 Pm 0.0000 0.5000 0.0000
Pr1 Pr 0.5000 0.0000 0.0000
H1 H 0.0000 0.0000 0.0000

Record 5
# AcPmH8Pt2 PBE relaxed
# magnetic moment: 0.00 μB/f.u.
# electronic total energy: -4.348 eV per atom
data_AcPmH8Pt2
_cell_length_a 4.6701
_cell_length_b 4.6701
_cell_length_c 7.8281
_cell_angle_alpha 72.65
_cell_angle_beta 72.65
_cell_angle_gamma 60.00
_space_group_name_H-M_alt 'P 1'
_space_group_IT_number 1
_space_group_name_Hall 'P 1'
loop_
_atom_site_label
_atom_site_type_symbol
_atom_site_fract_x
_atom_site_fract_y
_atom_site_fract_z
Pt1 Pt 0.2528 0.2528 0.2416
H1 H 0.8246 0.8246 0.5263
Pt2 Pt 0.7472 0.7472 0.7584
H2 H 0.1754 0.1754 0.4737
H3 H 0.1108 0.5253 0.8384
H4 H 0.5256 0.1108 0.8384
Ac1 Ac 0.5000 0.5000 0.5000
H5 H 0.5253 0.5256 0.8384
H6 H 0.4747 0.4744 0.1616
H7 H 0.4744 0.8892 0.1616
H8 H 0.8892 0.4747 0.1616
Pm1 Pm 0.0000 0.0000 0.0000

Record 6
# AcPmH6Rh2 PBE relaxed
# magnetic moment: 0.00 μB/f.u.
# electronic total energy: -4.921 eV per atom
data_AcPmH6Rh2
_cell_length_a 6.2949
_cell_length_b 6.2949
_cell_length_c 6.7343
_cell_angle_alpha 103.44
_cell_angle_beta 103.44
_cell_angle_gamma 101.86
_space_group_name_H-M_alt 'P 1'
_space_group_IT_number 1
_space_group_name_Hall 'P 1'
loop_
_atom_site_label
_atom_site_type_symbol
_atom_site_fract_x
_atom_site_fract_y
_atom_site_fract_z
Rh1 Rh 0.9432 0.6716 0.6844
H1 H 0.0802 0.5738 0.8814
H2 H 0.7766 0.8402 0.9827
H3 H 0.5341 0.3095 0.8776
H4 H 0.6905 0.4659 0.6224
H5 H 0.5738 0.0802 0.3814
Pm1 Pm 0.4051 0.5949 0.7500
Rh2 Rh 0.0568 0.3284 0.3156
H6 H 0.2234 0.1598 0.0173
Rh3 Rh 0.3284 0.0568 0.8156
H7 H 0.4659 0.6905 0.1224
Ac1 Ac 0.1494 0.8506 0.2500
Rh4 Rh 0.6716 0.9432 0.1844
Ac2 Ac 0.8506 0.1494 0.7500
H8 H 0.1598 0.2234 0.5173
H9 H 0.4262 0.9198 0.6186
Pm2 Pm 0.5949 0.4051 0.2500
H10 H 0.9198 0.4262 0.1186
H11 H 0.8402 0.7766 0.4827
H12 H 0.3095 0.5341 0.3776

Record 7
# Ac2PmH12Rh3 PBE relaxed
# magnetic moment: 0.00 μB/f.u.
# electronic total energy: -4.556 eV per atom
data_Ac2PmH12Rh3
_cell_length_a 6.3243
_cell_length_b 6.3243
_cell_length_c 6.3243
_cell_angle_alpha 64.40
_cell_angle_beta 64.40
_cell_angle_gamma 64.40
_space_group_name_H-M_alt 'P 1'
_space_group_IT_number 1
_space_group_name_Hall 'P 1'
loop_
_atom_site_label
_atom_site_type_symbol
_atom_site_fract_x
_atom_site_fract_y
_atom_site_fract_z
H1 H 0.2811 0.8924 0.2811
Pm1 Pm 0.0000 0.0000 0.0000
H2 H 0.7189 0.7189 0.1076
Ac1 Ac 0.3877 0.3877 0.3877
H3 H 0.8692 0.4198 0.8692
Rh1 Rh 0.0000 0.0000 0.5000
H4 H 0.1308 0.5802 0.1308
Rh2 Rh 0.0000 0.5000 0.0000
Ac2 Ac 0.6123 0.6123 0.6123
H5 H 0.8924 0.2811 0.2811
H6 H 0.5802 0.1308 0.1308
H7 H 0.1076 0.7189 0.7189
H8 H 0.7189 0.1076 0.7189
H9 H 0.1308 0.1308 0.5802
H10 H 0.2811 0.2811 0.8924
H11 H 0.4198 0.8692 0.8692
Rh3 Rh 0.5000 0.0000 0.0000
H12 H 0.8692 0.8692 0.4198

Record 8
# AcPmHRh PBE relaxed
# magnetic moment: 0.00 μB/f.u.
# electronic total energy: -5.162 eV per atom
data_AcPmHRh
_cell_length_a 5.0153
_cell_length_b 5.0153
_cell_length_c 5.0153
_cell_angle_alpha 60.00
_cell_angle_beta 60.00
_cell_angle_gamma 60.00
_space_group_name_H-M_alt 'P 1'
_space_group_IT_number 1
_space_group_name_Hall 'P 1'
loop_
_atom_site_label
_atom_site_type_symbol
_atom_site_fract_x
_atom_site_fract_y
_atom_site_fract_z
Ac1 Ac 0.0000 0.0000 0.0000
H1 H 0.7500 0.7500 0.7500
Rh1 Rh 0.2500 0.2500 0.2500
Pm1 Pm 0.5000 0.5000 0.5000